# 1
This record from Alexandria via LeMat-Bulk describes crystalline YGa3Ag3 at its relaxed geometry. The functional is GGA-PBE.

Cell lengths 4.3317, 6.6439, 10.1410 Å; angles 113.87, 90.00, 90.00 degrees
With the nearest neighbours (Å) after each atom.
Atoms (fractional coordinates):
Y 0.7500 0.3736 0.6116  6 Ga 2.98-3.21, 3 Ag 3.22-3.27
Y 0.2500 0.6264 0.3884  6 Ga 2.98-3.21, 3 Ag 3.22-3.27
Ga 0.7500 0.9055 0.3416  4 Ga 2.67-2.92, 3 Ag 2.73-2.84
Ga 0.7500 0.5199 0.1138  1 Ga 2.67, 6 Ag 2.68-2.96
Ga 0.7500 0.8259 0.6045  3 Ag 2.68-2.78, 3 Ga 2.72-2.92, 2 Y 2.98
Ga 0.2500 0.0945 0.6584  4 Ga 2.67-2.92, 3 Ag 2.73-2.84
Ga 0.2500 0.4801 0.8862  1 Ga 2.67, 6 Ag 2.68-2.96
Ga 0.2500 0.1741 0.3955  3 Ag 2.68-2.78, 3 Ga 2.72-2.92, 2 Y 2.98
Ag 0.7500 0.8108 0.9530  8 Ag 2.86-3.16, 3 Ga 2.96-2.99
Ag 0.7500 0.2296 0.2409  4 Ga 2.72-2.78, 2 Ag 2.86
Ag 0.7500 0.1795 0.8556  6 Ga 2.68-2.88, 3 Ag 2.89-2.99
Ag 0.2500 0.1892 0.0470  8 Ag 2.86-3.16, 3 Ga 2.96-2.99
Ag 0.2500 0.7704 0.7591  4 Ga 2.72-2.78, 2 Ag 2.86
Ag 0.2500 0.8205 0.1444  6 Ga 2.68-2.88, 3 Ag 2.89-2.99

Output
excess energy over the best structure of this formula in the dataset = 0.0 kJ/mol of atoms
formation energy = -1.7 eV/f.u.

# 2
This record from Alexandria via LeMat-Bulk describes crystalline Y3Ga2Ag at its relaxed geometry. The functional is GGA-PBE.

Cell lengths 5.1034, 5.1034, 12.5361 Å; angles 90.00, 90.00, 120.00 degrees
With the nearest neighbours (Å) after each atom.
Atoms (fractional coordinates):
Y 0.3333 0.6667 0.4168  4 Ga 3.07-3.13, 4 Ag 3.15-3.21
Y 0.6667 0.3333 0.0799  1 Ag 3.10, 7 Ga 3.11-3.17
Y 0.0000 0.0000 0.7545  5 Ga 3.08-3.19, 3 Ag 3.12
Y 0.0000 0.0000 0.2455  5 Ga 3.08-3.19, 3 Ag 3.12
Y 0.3333 0.6667 0.9201  1 Ag 3.10, 7 Ga 3.11-3.17
Y 0.6667 0.3333 0.5832  4 Ga 3.07-3.13, 4 Ag 3.15-3.21
Ga 0.0000 0.0000 0.5000  8 Y 3.13-3.19
Ga 0.3333 0.6667 0.1723  8 Y 3.07-3.17
Ga 0.6667 0.3333 0.8277  8 Y 3.07-3.17
Ga 0.0000 0.0000 0.0000  8 Y 3.08-3.11
Ag 0.3333 0.6667 0.6727  8 Y 3.10-3.21
Ag 0.6667 0.3333 0.3273  8 Y 3.10-3.21

Output
excess energy over the best structure of this formula in the dataset = 0.0 kJ/mol of atoms
formation energy = -3.1 eV/f.u.